Here is crystalline FeReS2N at its relaxed geometry from the Alexandria database. Energies are from PBE-GGA.

Cell lengths 4.785, 4.785, 3.720 Å; angles 90.00, 90.00, 90.00 degrees
Positions (direct):
Fe 0.000 0.000 0.000
Re 0.500 0.500 0.500
S 0.000 0.500 0.500
S 0.500 0.000 0.500
N 0.500 0.500 0.000

Properties
E above lowest polymorph = 0 meV per atom
formation energy (no corrections) = 0.59 eV/atom
ρ = 6.2 g/cm³

***

Here is crystalline Ba2BeAg2 at its relaxed geometry from the Alexandria database. Energies are from PBE-GGA.

Cell lengths 9.073, 9.073, 4.375 Å; angles 90.00, 90.00, 90.00 degrees
Positions (direct):
Ba 0.178 0.322 0.000
Ba 0.322 0.822 0.000
Ba 0.678 0.178 0.000
Ba 0.822 0.678 0.000
Be 0.000 0.000 0.000
Be 0.500 0.500 0.000
Ag 0.112 0.612 0.500
Ag 0.388 0.112 0.500
Ag 0.612 0.888 0.500
Ag 0.888 0.388 0.500

Properties
E above lowest polymorph = 172 meV per atom
ΔE_f = 0.35 eV/atom
ρ = 4.6 g/cm³

***

Here is crystalline Sm3Cu3Sn4 at its relaxed geometry from the Alexandria database. Energies are from PBE-GGA.

Cell lengths 8.427, 8.427, 8.427 Å; angles 109.47, 109.47, 109.47 degrees
Positions (direct):
Sm 0.125 0.750 0.875
Sm 0.250 0.625 0.375
Sm 0.375 0.250 0.625
Sm 0.625 0.375 0.250
Sm 0.750 0.875 0.125
Sm 0.875 0.125 0.750
Cu 0.125 0.875 0.250
Cu 0.250 0.125 0.875
Cu 0.375 0.625 0.750
Cu 0.625 0.750 0.375
Cu 0.750 0.375 0.625
Cu 0.875 0.250 0.125
Sn 0.000 0.345 0.500
Sn 0.000 0.845 0.500
Sn 0.155 0.155 0.155
Sn 0.345 0.500 0.000
Sn 0.500 0.000 0.345
Sn 0.500 0.000 0.845
Sn 0.655 0.655 0.655
Sn 0.845 0.500 0.000

Properties
ΔE_f = -0.53 eV/atom
ρ = 8.0 g/cm³

***

Here is crystalline NdDy2Si at its relaxed geometry from the Alexandria database. Energies are from PBE-GGA.

Cell lengths 4.693, 4.693, 4.666 Å; angles 90.00, 90.00, 90.00 degrees
Positions (direct):
Nd 0.000 0.000 0.000
Dy 0.000 0.500 0.500
Dy 0.500 0.000 0.500
Si 0.500 0.500 0.000

Properties
E above lowest polymorph = 0 meV per atom
formation energy (no corrections) = -0.24 eV/atom
ρ = 8.0 g/cm³

***

Here is crystalline Tm12Sn6N at its relaxed geometry from the Alexandria database. Energies are from PBE-GGA.

Cell lengths 8.091, 8.091, 8.091 Å; angles 92.10, 92.10, 92.10 degrees
Positions (direct):
Tm 0.046 0.925 0.716
Tm 0.075 0.284 0.954
Tm 0.202 0.415 0.544
Tm 0.284 0.954 0.075
Tm 0.415 0.544 0.202
Tm 0.456 0.798 0.585
Tm 0.544 0.202 0.415
Tm 0.585 0.456 0.798
Tm 0.716 0.046 0.925
Tm 0.798 0.585 0.456
Tm 0.925 0.716 0.046
Tm 0.954 0.075 0.284
Sn 0.134 0.751 0.372
Sn 0.249 0.628 0.866
Sn 0.372 0.134 0.751
Sn 0.628 0.866 0.249
Sn 0.751 0.372 0.134
Sn 0.866 0.249 0.628
N 0.000 0.000 0.000

Properties
formation energy (no corrections) = -0.61 eV/atom
ρ = 8.7 g/cm³

***

Here is crystalline LiYSe2 at its relaxed geometry from the Alexandria database. Energies are from PBE-GGA.

Cell lengths 3.551, 3.551, 7.143 Å; angles 90.00, 90.00, 90.00 degrees
Positions (direct):
Li 0.000 0.000 0.000
Y 0.000 0.000 0.500
Se 0.500 0.500 0.262
Se 0.500 0.500 0.738

Properties
formation energy (no corrections) = -1.35 eV/atom
ρ = 4.7 g/cm³

***

Question: Which of these has the lowest ρ?
Answer: Ba2BeAg2

***

Question: Look up the ρ of the second one.
Answer: 4.6 g/cm³